# Y2ThRh4, relaxed, DFT GGA-PBE
data_Y2ThRh4
_space_group_name_H-M_alt 'R -3 m'
_space_group_IT_number 166
_space_group_name_Hall '-R 3 2"'
_cell_length_a 4.7682
_cell_length_b 4.7682
_cell_length_c 23.4807
_cell_angle_alpha 90.00
_cell_angle_beta 90.00
_cell_angle_gamma 120.00
loop_
_atom_site_label
_atom_site_fract_x
_atom_site_fract_y
_atom_site_fract_z
Y1 0.0000 0.0000 0.2346
Th1 0.0000 0.0000 0.0000
Rh1 0.0000 0.0000 0.1156
Rh2 0.0000 0.0000 0.3736
# E_tot (eV for the cell shown): -161.3
# E_form (meV/atom): -574